The following is a PBE with a Hubbard U calculation of crystalline Na2CoSnO4 at its relaxed geometry, from Alexandria via LeMat-Bulk.

## Properties
- Calculated total energy: -5.49 eV per atom
- Symmetry: P2/m (10)

Cell lengths 3.1644, 5.5124, 5.7594 Å; angles 108.91, 90.00, 90.00 degrees
Site moments in Bohr magnetons follow the coordinates.
Positions (direct):
Sn 0.5000 0.5000 0.0000  -0.01
O 0.0000 0.7276 0.2150  0.03
O 0.5000 0.7565 0.8024  0.08
O 0.5000 0.2435 0.1976  0.08
O 0.0000 0.2724 0.7850  0.03
Na 0.5000 0.0000 0.5000  0.00
Na 0.0000 0.5000 0.5000  0.00
Co 0.0000 0.0000 0.0000  2.70